## i
# LiNp2I8

LiNp2I8 after structural relaxation (GGA-PBE, the Alexandria database).

Output
Theoretical density   4.2 g/cm3
DOS(E_F)   35.63 states/eV/cell
Spin magnetization   0.636 μB per atom

Geometry as CIF:
```
data_LiNp2I8
_symmetry_space_group_name_H-M 'C 1 2/m 1'
_symmetry_Int_Tables_number 12
_cell_length_a 16.165
_cell_length_b 11.838
_cell_length_c 6.161
_cell_angle_alpha 90.00
_cell_angle_beta 90.82
_cell_angle_gamma 90.00
loop_
_symmetry_equiv_pos_as_xyz
'x,y,z'
'-x,-y,-z'
'-x,y,-z'
'x,-y,z'
'x+1/2,y+1/2,z'
'-x+1/2,-y+1/2,-z'
'-x+1/2,y+1/2,-z'
'x+1/2,-y+1/2,z'
loop_
_atom_site_label
_atom_site_fract_x
_atom_site_fract_y
_atom_site_fract_z
_atom_site_occupancy
Li1 0.000 0.000 0.000 1
Np1 0.214 0.000 0.248 1
I1 0.092 0.183 0.230 1
I2 0.105 0.500 0.742 1
I3 0.215 0.000 0.749 1
```

## ii
# LiNp2I8

LiNp2I8 after structural relaxation (GGA-PBE, the Alexandria database).

Output
Theoretical density   4.3 g/cm3
DOS(E_F)   12.89 states/eV/cell
Spin magnetization   0.636 μB per atom

Geometry as CIF:
```
data_LiNp2I8
_symmetry_space_group_name_H-M 'P -1'
_symmetry_Int_Tables_number 2
_cell_length_a 7.848
_cell_length_b 8.573
_cell_length_c 9.698
_cell_angle_alpha 81.90
_cell_angle_beta 83.04
_cell_angle_gamma 63.67
loop_
_symmetry_equiv_pos_as_xyz
'x,y,z'
'-x,-y,-z'
loop_
_atom_site_label
_atom_site_fract_x
_atom_site_fract_y
_atom_site_fract_z
_atom_site_occupancy
Li1 0.000 0.000 0.000 1
Np1 0.222 0.022 0.621 1
I1 0.001 0.202 0.353 1
I2 0.076 0.707 0.210 1
I3 0.395 0.828 0.885 1
I4 0.448 0.242 0.558 1
```

Which of them is most stable, and which least? Most stable: ii; least stable: i.

## i
# LiIO2

LiIO2 after structural relaxation (GGA-PBE, the Alexandria database).

Output
Theoretical density   5.5 g/cm3
DOS(E_F)   9.56 states/eV/cell
Spin magnetization   0.000 μB per atom

Geometry as CIF:
```
data_LiIO2
_symmetry_space_group_name_H-M 'F m -3 m'
_symmetry_Int_Tables_number 225
_symmetry_space_group_name_Hall '-F 4 2 3'
_cell_length_a 5.868
_cell_length_b 5.868
_cell_length_c 5.868
_cell_angle_alpha 90.00
_cell_angle_beta 90.00
_cell_angle_gamma 90.00
loop_
_atom_site_label
_atom_site_fract_x
_atom_site_fract_y
_atom_site_fract_z
_atom_site_occupancy
Li1 0.000 0.000 0.000 1
I1 0.000 0.000 0.500 1
O1 0.250 0.250 0.250 1
```

## ii
# LiIO2

LiIO2 after structural relaxation (GGA-PBE, the Alexandria database).

Output
Theoretical density   4.9 g/cm3
DOS(E_F)   4.40 states/eV/cell
Spin magnetization   0.000 μB per atom

Geometry as CIF:
```
data_LiIO2
_symmetry_space_group_name_H-M 'R -3 m'
_symmetry_Int_Tables_number 166
_symmetry_space_group_name_Hall '-R 3 2"'
_cell_length_a 3.2398
_cell_length_b 3.2398
_cell_length_c 18.3664
_cell_angle_alpha 90.00
_cell_angle_beta 90.00
_cell_angle_gamma 120.00
loop_
_atom_site_label
_atom_site_fract_x
_atom_site_fract_y
_atom_site_fract_z
_atom_site_occupancy
Li1 0.0000 0.0000 0.0000 1
I1 0.0000 0.0000 0.5000 1
O1 0.0000 0.0000 0.3940 1
```

## iii
# LiIO2

LiIO2 after structural relaxation (GGA-PBE, the Alexandria database).

Output
Theoretical density   4.4 g/cm3
DOS(E_F)   0.10 states/eV/cell
Spin magnetization   0.000 μB per atom

Geometry as CIF:
```
data_LiIO2
_symmetry_space_group_name_H-M 'I -4 2 d'
_symmetry_Int_Tables_number 122
_symmetry_space_group_name_Hall 'I -4 2bw'
_cell_length_a 4.439
_cell_length_b 4.439
_cell_length_c 12.639
_cell_angle_alpha 90.00
_cell_angle_beta 90.00
_cell_angle_gamma 90.00
loop_
_atom_site_label
_atom_site_fract_x
_atom_site_fract_y
_atom_site_fract_z
_atom_site_occupancy
Li1 0.000 0.000 0.000 1
I1 0.000 0.000 0.500 1
O1 0.238 0.250 0.625 1
```

Which of them is most stable, and which least? Most stable: ii; least stable: i.

## i
# Li2I2O7

Li2I2O7 after structural relaxation (GGA-PBE, the Alexandria database).

Output
Theoretical density   3.5 g/cm3
Spin magnetization   0.000 μB per atom

Geometry as CIF:
```
data_Li2I2O7
_symmetry_space_group_name_H-M 'C 1 2/m 1'
_symmetry_Int_Tables_number 12
_cell_length_a 6.238
_cell_length_b 9.476
_cell_length_c 6.114
_cell_angle_alpha 90.00
_cell_angle_beta 90.35
_cell_angle_gamma 90.00
loop_
_symmetry_equiv_pos_as_xyz
'x,y,z'
'-x,-y,-z'
'-x,y,-z'
'x,-y,z'
'x+1/2,y+1/2,z'
'-x+1/2,-y+1/2,-z'
'-x+1/2,y+1/2,-z'
'x+1/2,-y+1/2,z'
loop_
_atom_site_label
_atom_site_fract_x
_atom_site_fract_y
_atom_site_fract_z
_atom_site_occupancy
Li1 0.000 0.241 0.000 1
I1 0.219 0.000 0.668 1
O1 0.000 0.500 0.500 1
O2 0.080 0.000 0.300 1
O3 0.237 0.345 0.160 1
```

## ii
# Li2I2O7

Li2I2O7 after structural relaxation (GGA-PBE, the Alexandria database).

Output
Theoretical density   4.1 g/cm3
DOS(E_F)   0.00 states/eV/cell
Spin magnetization   0.000 μB per atom

Geometry as CIF:
```
data_Li2I2O7
_symmetry_space_group_name_H-M 'C 1 m 1'
_symmetry_Int_Tables_number 8
_cell_length_a 6.757
_cell_length_b 8.356
_cell_length_c 5.538
_cell_angle_alpha 90.00
_cell_angle_beta 96.00
_cell_angle_gamma 90.00
loop_
_symmetry_equiv_pos_as_xyz
'x,y,z'
'x,-y,z'
'x+1/2,y+1/2,z'
'x+1/2,-y+1/2,z'
loop_
_atom_site_label
_atom_site_fract_x
_atom_site_fract_y
_atom_site_fract_z
_atom_site_occupancy
Li1 0.000 0.199 0.000 1
I1 0.216 0.500 0.350 1
I2 0.258 0.000 0.598 1
O1 0.064 0.000 0.333 1
O2 0.073 0.000 0.818 1
O3 0.234 0.333 0.143 1
O4 0.382 0.186 0.688 1
O5 0.429 0.000 0.303 1
```

Which of them is most stable, and which least? Most stable: ii; least stable: i.

## i
# LiI2O

LiI2O after structural relaxation (GGA-PBE, the Alexandria database).

Output
Theoretical density   5.4 g/cm3
DOS(E_F)   31.99 states/eV/cell
Spin magnetization   0.000 μB per atom

Geometry as CIF:
```
data_LiI2O
_symmetry_space_group_name_H-M 'F m -3 m'
_symmetry_Int_Tables_number 225
_symmetry_space_group_name_Hall '-F 4 2 3'
_cell_length_a 6.995
_cell_length_b 6.995
_cell_length_c 6.995
_cell_angle_alpha 90.00
_cell_angle_beta 90.00
_cell_angle_gamma 90.00
loop_
_atom_site_label
_atom_site_fract_x
_atom_site_fract_y
_atom_site_fract_z
_atom_site_occupancy
Li1 0.000 0.000 0.000 1
I1 0.250 0.250 0.250 1
O1 0.000 0.000 0.500 1
```

## ii
# LiI2O

LiI2O after structural relaxation (GGA-PBE, the Alexandria database).

Output
Theoretical density   3.9 g/cm3
DOS(E_F)   0.82 states/eV/cell
Spin magnetization   0.000 μB per atom

Geometry as CIF:
```
data_LiI2O
_symmetry_space_group_name_H-M 'I -4 2 d'
_symmetry_Int_Tables_number 122
_symmetry_space_group_name_Hall 'I -4 2bw'
_cell_length_a 5.937
_cell_length_b 5.937
_cell_length_c 13.534
_cell_angle_alpha 90.00
_cell_angle_beta 90.00
_cell_angle_gamma 90.00
loop_
_atom_site_label
_atom_site_fract_x
_atom_site_fract_y
_atom_site_fract_z
_atom_site_occupancy
Li1 0.000 0.000 0.000 1
I1 0.157 0.250 0.625 1
O1 0.000 0.000 0.500 1
```

Which of them is most stable, and which least? Most stable: ii; least stable: i.

## i
# LiOsIO2

LiOsIO2 after structural relaxation (GGA-PBE, the Alexandria database).

Output
Theoretical density   5.0 g/cm3
DOS(E_F)   1.48 states/eV/cell
Spin magnetization   0.000 μB per atom

Geometry as CIF:
```
data_LiOsIO2
_symmetry_space_group_name_H-M 'P 4/m m m'
_symmetry_Int_Tables_number 123
_symmetry_space_group_name_Hall '-P 4 2'
_cell_length_a 3.747
_cell_length_b 3.747
_cell_length_c 8.460
_cell_angle_alpha 90.00
_cell_angle_beta 90.00
_cell_angle_gamma 90.00
loop_
_atom_site_label
_atom_site_fract_x
_atom_site_fract_y
_atom_site_fract_z
_atom_site_occupancy
Li1 0.000 0.000 0.000 1
Os1 0.500 0.500 0.500 1
I1 0.500 0.500 0.000 1
O1 0.000 0.500 0.500 1
```

## ii
# LiOsIO2

LiOsIO2 after structural relaxation (GGA-PBE, the Alexandria database).

Output
Theoretical density   8.3 g/cm3
DOS(E_F)   7.27 states/eV/cell
Spin magnetization   0.306 μB per atom

Geometry as CIF:
```
data_LiOsIO2
_symmetry_space_group_name_H-M 'P 4/m m m'
_symmetry_Int_Tables_number 123
_symmetry_space_group_name_Hall '-P 4 2'
_cell_length_a 3.838
_cell_length_b 3.838
_cell_length_c 4.812
_cell_angle_alpha 90.00
_cell_angle_beta 90.00
_cell_angle_gamma 90.00
loop_
_atom_site_label
_atom_site_fract_x
_atom_site_fract_y
_atom_site_fract_z
_atom_site_occupancy
Li1 0.000 0.000 0.000 1
Os1 0.500 0.500 0.500 1
I1 0.000 0.000 0.500 1
O1 0.000 0.500 0.000 1
```

Which of them is most stable, and which least? Most stable: i; least stable: ii.

## i
# LiReI2O

LiReI2O after structural relaxation (GGA-PBE, the Alexandria database).

Output
Theoretical density   6.3 g/cm3
DOS(E_F)   3.09 states/eV/cell
Spin magnetization   0.000 μB per atom

Geometry as CIF:
```
data_LiReI2O
_symmetry_space_group_name_H-M 'P 4/m m m'
_symmetry_Int_Tables_number 123
_symmetry_space_group_name_Hall '-P 4 2'
_cell_length_a 5.660
_cell_length_b 5.660
_cell_length_c 3.788
_cell_angle_alpha 90.00
_cell_angle_beta 90.00
_cell_angle_gamma 90.00
loop_
_atom_site_label
_atom_site_fract_x
_atom_site_fract_y
_atom_site_fract_z
_atom_site_occupancy
Li1 0.000 0.000 0.000 1
Re1 0.500 0.500 0.500 1
I1 0.000 0.500 0.500 1
O1 0.500 0.500 0.000 1
```

## ii
# LiReI2O

LiReI2O after structural relaxation (GGA-PBE, the Alexandria database).

Output
Theoretical density   8.0 g/cm3
DOS(E_F)   3.81 states/eV/cell
Spin magnetization   0.687 μB per atom

Geometry as CIF:
```
data_LiReI2O
_symmetry_space_group_name_H-M 'P 4/m m m'
_symmetry_Int_Tables_number 123
_symmetry_space_group_name_Hall '-P 4 2'
_cell_length_a 5.262
_cell_length_b 5.262
_cell_length_c 3.450
_cell_angle_alpha 90.00
_cell_angle_beta 90.00
_cell_angle_gamma 90.00
loop_
_atom_site_label
_atom_site_fract_x
_atom_site_fract_y
_atom_site_fract_z
_atom_site_occupancy
Li1 0.000 0.000 0.000 1
Re1 0.500 0.500 0.500 1
I1 0.000 0.500 0.000 1
O1 0.000 0.000 0.500 1
```

Which of them is most stable, and which least? Most stable: i; least stable: ii.

## i
# LiRuIO2

LiRuIO2 after structural relaxation (GGA-PBE, the Alexandria database).

Output
Theoretical density   6.1 g/cm3
DOS(E_F)   7.42 states/eV/cell
Spin magnetization   0.357 μB per atom

Geometry as CIF:
```
data_LiRuIO2
_symmetry_space_group_name_H-M 'P 4/m m m'
_symmetry_Int_Tables_number 123
_symmetry_space_group_name_Hall '-P 4 2'
_cell_length_a 3.840
_cell_length_b 3.840
_cell_length_c 4.927
_cell_angle_alpha 90.00
_cell_angle_beta 90.00
_cell_angle_gamma 90.00
loop_
_atom_site_label
_atom_site_fract_x
_atom_site_fract_y
_atom_site_fract_z
_atom_site_occupancy
Li1 0.000 0.000 0.000 1
Ru1 0.500 0.500 0.500 1
I1 0.000 0.000 0.500 1
O1 0.000 0.500 0.000 1
```

## ii
# LiRuIO2

LiRuIO2 after structural relaxation (GGA-PBE, the Alexandria database).

Output
Theoretical density   4.9 g/cm3
DOS(E_F)   3.46 states/eV/cell
Spin magnetization   0.130 μB per atom

Geometry as CIF:
```
data_LiRuIO2
_symmetry_space_group_name_H-M 'P 4/m m m'
_symmetry_Int_Tables_number 123
_symmetry_space_group_name_Hall '-P 4 2'
_cell_length_a 3.823
_cell_length_b 3.823
_cell_length_c 6.148
_cell_angle_alpha 90.00
_cell_angle_beta 90.00
_cell_angle_gamma 90.00
loop_
_atom_site_label
_atom_site_fract_x
_atom_site_fract_y
_atom_site_fract_z
_atom_site_occupancy
Li1 0.000 0.000 0.000 1
Ru1 0.500 0.500 0.500 1
I1 0.500 0.500 0.000 1
O1 0.000 0.500 0.500 1
```

Which of them is most stable, and which least? Most stable: ii; least stable: i.

## i
# LiSI2O

LiSI2O after structural relaxation (GGA-PBE, the Alexandria database).

Output
Theoretical density   5.0 g/cm3
DOS(E_F)   6.22 states/eV/cell
Spin magnetization   0.000 μB per atom

Geometry as CIF:
```
data_LiSI2O
_symmetry_space_group_name_H-M 'P 4/m m m'
_symmetry_Int_Tables_number 123
_symmetry_space_group_name_Hall '-P 4 2'
_cell_length_a 5.426
_cell_length_b 5.426
_cell_length_c 3.511
_cell_angle_alpha 90.00
_cell_angle_beta 90.00
_cell_angle_gamma 90.00
loop_
_atom_site_label
_atom_site_fract_x
_atom_site_fract_y
_atom_site_fract_z
_atom_site_occupancy
Li1 0.000 0.000 0.000 1
S1 0.500 0.500 0.500 1
I1 0.000 0.500 0.000 1
O1 0.000 0.000 0.500 1
```

## ii
# LiSI2O

LiSI2O after structural relaxation (GGA-PBE, the Alexandria database).

Output
Theoretical density   4.2 g/cm3
DOS(E_F)   0.48 states/eV/cell
Spin magnetization   0.000 μB per atom

Geometry as CIF:
```
data_LiSI2O
_symmetry_space_group_name_H-M 'P 4/m m m'
_symmetry_Int_Tables_number 123
_symmetry_space_group_name_Hall '-P 4 2'
_cell_length_a 5.748
_cell_length_b 5.748
_cell_length_c 3.654
_cell_angle_alpha 90.00
_cell_angle_beta 90.00
_cell_angle_gamma 90.00
loop_
_atom_site_label
_atom_site_fract_x
_atom_site_fract_y
_atom_site_fract_z
_atom_site_occupancy
Li1 0.000 0.000 0.000 1
S1 0.500 0.500 0.500 1
I1 0.000 0.500 0.500 1
O1 0.500 0.500 0.000 1
```

Which of them is most stable, and which least? Most stable: ii; least stable: i.